! Li2ScMnS4, optimized geometry, DFT PBE; values from VASP
&SYSTEM
  ibrav = 0, nat = 8, ntyp = 4
/
ATOMIC_SPECIES
Sc 44.96 Sc.upf
S 32.06 S.upf
Mn 54.94 Mn.upf
Li 6.94 Li.upf
CELL_PARAMETERS angstrom
3.636 0.000 0.000
0.000 6.204 0.118
0.000 -2.158 6.023
ATOMIC_POSITIONS crystal
Sc 0.000 0.000 0.000
S 0.000 0.263 0.764
Mn 0.500 0.500 0.000
S 0.500 0.259 0.235
Li 0.500 0.000 0.500
Li 0.000 0.500 0.500
S 0.000 0.737 0.236
S 0.500 0.741 0.765
! * formation energy without anion corrections: -1000 kJ/mol of formula units

! CaTl2Os, optimized geometry, DFT PBE; values from VASP
&SYSTEM
  ibrav = 0, nat = 4, ntyp = 3
/
ATOMIC_SPECIES
Os 190.23 Os.upf
Tl 204.38 Tl.upf
Ca 40.08 Ca.upf
CELL_PARAMETERS angstrom
7.460 -0.012 0.002
6.755 3.166 0.002
1.368 0.303 4.297
ATOMIC_POSITIONS crystal
Os 0.253 0.253 0.247
Tl 0.747 0.747 0.753
Ca 0.571 0.571 0.428
Tl 0.928 0.928 0.071
! * electronic total energy: -16.41 eV/cell